1.
First-principles (PBE-GGA) data for a geometry-optimized LiTh2Si3Rh4 structure, as listed in Alexandria via LeMat-Bulk.

Lattice parameters (Å, degrees): 4.127 4.127 10.173 90.00 90.00 90.00
Space group P-4m2 (No. 115)
One atom of each set of equivalent atoms:
Li1 0.000 0.000 0.000 (multiplicity 1)
Th1 0.000 0.500 0.756 (multiplicity 2)
Si1 0.000 0.500 0.373 (multiplicity 2)
Si2 0.500 0.500 0.000 (multiplicity 1)
Rh1 0.000 0.000 0.500 (multiplicity 1)
Rh2 0.000 0.500 0.137 (multiplicity 2)
Rh3 0.500 0.500 0.500 (multiplicity 1)

---

2.
First-principles (PBE-GGA) data for a geometry-optimized LiTmSi2Rh structure, as listed in Alexandria via LeMat-Bulk.

Lattice parameters (Å, degrees): 3.988 3.988 10.182 90.00 90.00 90.00
Space group I-4m2 (No. 119)
One atom of each set of equivalent atoms:
Li1 0.000 0.000 0.000 (multiplicity 2)
Tm1 0.000 0.500 0.750 (multiplicity 2)
Si1 0.000 0.500 0.135 (multiplicity 4)
Rh1 0.000 0.000 0.500 (multiplicity 2)

---

3.
First-principles (PBE-GGA) data for a geometry-optimized LiTm2Si2Rh5 structure, as listed in Alexandria via LeMat-Bulk.

Lattice parameters (Å, degrees): 9.774 9.774 3.365 90.00 90.00 90.00
Space group P4/mbm (No. 127)
One atom of each set of equivalent atoms:
Li1 0.000 0.000 0.000 (multiplicity 2)
Tm1 0.172 0.328 0.000 (multiplicity 4)
Si1 0.128 0.628 0.000 (multiplicity 4)
Rh1 0.000 0.500 0.500 (multiplicity 2)
Rh2 0.068 0.790 0.500 (multiplicity 8)

---

no.,ΔE_f (raw) (eV per atom),DOS(E_F) (states/eV per atom),E (eV/atom)
1,-0.98,0.7701,-7.2256
2,-0.77,0.5990,-5.6864
3,-0.89,0.4385,-6.7380